Compound: MgScMo2
Source: Alexandria
Functional: PBE
Structure: optimized geometry

a b c (Å): 5.386 5.386 2.761
angles (deg): 90.00 90.00 117.61
Fractional coordinates of all 4 atoms:
1 Mg 0.000 0.500 0.500
2 Mo 0.500 0.500 0.000
3 Mo 0.000 0.000 0.000
4 Sc 0.500 0.000 0.500

Results
VASP energy ... -7.106 eV/atom
D(E_F) ... 3.68 states/eV per cell
Calculated volume ... 71 Å³/cell

=====

Compound: Sr2AlZnCu6
Source: Alexandria
Functional: PBE
Structure: optimized geometry

a b c (Å): 8.348 5.202 6.644
angles (deg): 66.96 51.72 90.01
Fractional coordinates of all 10 atoms:
1 Cu 0.214 0.714 0.067
2 Cu 0.785 0.781 0.934
3 Cu 0.215 0.219 0.066
4 Cu 0.910 0.751 0.499
5 Cu 0.786 0.286 0.933
6 Cu 0.090 0.249 0.501
7 Zn 0.500 0.500 0.000
8 Al 0.000 0.000 0.000
9 Sr 0.689 0.247 0.507
10 Sr 0.311 0.753 0.493

Results
VASP energy ... -3.399 eV/atom
D(E_F) ... 4.61 states/eV per cell
Calculated volume ... 196 Å³/cell

=====

Compound: ErHg2
Source: Alexandria
Functional: PBE
Structure: optimized geometry

a b c (Å): 4.942 4.942 3.400
angles (deg): 90.00 90.00 120.00
Fractional coordinates of all 3 atoms:
1 Hg 0.667 0.333 0.500
2 Hg 0.333 0.667 0.500
3 Er 0.000 0.000 0.000

Results
VASP energy ... -2.084 eV/atom
D(E_F) ... 1.55 states/eV per cell
Calculated volume ... 72 Å³/cell

=====

Number 1: spin magnetization 0.00 μB per cell. Number 2: spin magnetization 0.00 μB per cell. Number 3: spin magnetization 0.00 μB per cell.